Version w
{
  "formula": "BaRuSe2",
  "functional": "PBE",
  "state": "optimized geometry",
  "cell": [[-0.464, 3.739, -1.121], [-3.370, -1.516, -3.663], [-4.704, 0.157, 2.469]],
  "species": ["Ba", "Ru", "Se", "Se"],
  "fractional_positions": [[0.500, 0.250, 0.250], [0.500, 0.750, 0.750], [0.000, 0.923, 0.939], [0.000, 0.577, 0.561]],
  "vol_a3_per_cell": 106,
  "magmom_total_mub_per_fu": 0.00
}

***

Version x
{
  "formula": "BaRuSe2",
  "functional": "PBE",
  "state": "optimized geometry",
  "cell": [[3.736, 0.009, 0.000], [-0.008, 3.736, 0.000], [0.000, 0.000, 7.745]],
  "species": ["Ba", "Ru", "Se", "Se"],
  "fractional_positions": [[0.000, 0.000, 0.454], [0.500, 0.500, 0.931], [0.000, 0.000, 0.868], [0.500, 0.500, 0.246]],
  "vol_a3_per_cell": 108,
  "magmom_total_mub_per_fu": 1.16
}

***

Version y
{
  "formula": "BaRuSe2",
  "functional": "PBE",
  "state": "optimized geometry",
  "cell": [[-2.047, 0.783, -3.461], [-1.546, -3.085, -2.208], [-6.817, -0.391, 1.520]],
  "species": ["Ba", "Ru", "Se", "Se"],
  "fractional_positions": [[0.506, 0.506, 0.483], [0.329, 0.329, 0.014], [0.944, 0.944, 0.167], [0.721, 0.721, 0.837]],
  "vol_a3_per_cell": 96,
  "magmom_total_mub_per_fu": 0.00
}

***

Version z
{
  "formula": "BaRuSe2",
  "functional": "PBE",
  "state": "optimized geometry",
  "cell": [[4.146, -0.002, -0.001], [2.074, 3.590, -0.001], [2.074, 1.197, 6.327]],
  "species": ["Ba", "Ru", "Se", "Se"],
  "fractional_positions": [[0.750, 0.750, 0.750], [0.250, 0.250, 0.250], [0.972, 0.972, 0.084], [0.528, 0.528, 0.416]],
  "vol_a3_per_cell": 94,
  "magmom_total_mub_per_fu": 0.00
}

***

Short version: version z is the most stable of them.

***

Version w
{
  "formula": "BaRuSe2",
  "functional": "PBE",
  "state": "optimized geometry",
  "cell": [[-1.176, -2.467, -4.144], [0.959, -3.894, 2.046], [-4.706, -0.349, 1.543]],
  "species": ["Ba", "Ru", "Se", "Se"],
  "fractional_positions": [[0.000, 0.500, 0.377], [0.500, 0.000, 0.873], [0.000, 0.000, 0.877], [0.500, 0.000, 0.374]],
  "vol_a3_per_cell": 111,
  "magmom_total_mub_per_fu": 1.68
}

***

Version x
{
  "formula": "BaRuSe2",
  "functional": "PBE",
  "state": "optimized geometry",
  "cell": [[-3.058, 5.530, -0.859], [-3.488, 2.767, 4.566], [5.740, -2.634, -0.887]],
  "species": ["Ba", "Ru", "Se", "Se"],
  "fractional_positions": [[0.500, 0.500, 0.000], [0.750, 0.250, 0.500], [0.000, 0.000, 0.000], [0.250, 0.750, 0.500]],
  "vol_a3_per_cell": 104,
  "magmom_total_mub_per_fu": 2.84
}

***

Short version: version w is the most stable of them.